Record 1
Density functional theory data (GGA-PBE) for a geometry-optimized LiInSn structure.

POSCAR file:
```
LiInSn
1.0
2.713 0.000 7.447
-1.357 2.350 7.447
-1.357 -2.350 7.447
Sn Li In
2 2 2
direct
0.298 0.298 0.298
0.702 0.702 0.702
0.429 0.429 0.429
0.571 0.571 0.571
0.135 0.135 0.135
0.865 0.865 0.865
```

E_form	-0.137	eV/atom



Record 2
Density functional theory data (GGA-PBE) for a geometry-optimized SrHfNb2 structure.

POSCAR file:
```
SrHfNb2
1.0
0.000 3.570 3.570
3.570 0.000 3.570
3.570 3.570 0.000
Sr Nb Hf
1 2 1
direct
0.000 0.000 0.000
0.250 0.250 0.250
0.750 0.750 0.750
0.500 0.500 0.500
```

E_form	0.889	eV/atom



Record 3
Density functional theory data (GGA-PBE) for a geometry-optimized CrSb2RhI structure.

POSCAR file:
```
CrSb2RhI
1.0
-4.938 -0.628 -0.300
0.143 -3.021 3.966
-0.725 4.169 3.201
Cr Sb Rh I
1 2 1 1
direct
0.000 0.000 0.000
0.500 0.000 0.000
0.000 0.500 0.000
0.500 0.500 0.500
0.000 0.000 0.500
```

raw formation energy	0.896	eV per atom



Record 4
Density functional theory data (GGA-PBE) for a geometry-optimized CuAuF3 structure.

POSCAR file:
```
CuAuF3
1.0
-2.829 3.164 -1.074
-2.468 -1.030 3.466
2.253 2.845 2.449
Cu F Au
1 3 1
direct
0.500 0.500 0.500
0.000 0.000 0.500
0.500 0.000 0.000
0.000 0.500 0.000
0.000 0.000 0.000
```

raw formation energy	-0.493	eV per atom